Ac6IrRh2Br3: relaxed, PBE.

Cell: 20.795 4.342 9.696 Å, 90.00 111.78 90.00°
Space group C2/m (No. 12)
One atom of each set of equivalent atoms:
Ac 0.012 0.000 0.218 x4
Ac 0.154 0.500 0.114 x4
Ac 0.179 0.500 0.552 x4
Ir 0.000 0.500 0.000 x2
Rh 0.167 0.000 0.334 x4
Br 0.000 0.500 0.500 x2
Br 0.167 0.000 0.833 x4

Results
**Crystal system**: monoclinic
**Magnetization**: 0.00 μB/atom
**E_form (uncorrected)**: -14.151 eV/f.u.
**Final energy**: -5.62 eV per atom